CdAsPdO: relaxed, GGA-PBE.

```
8
Lattice="4.109 0.000 0.000 0.000 5.841 0.000 0.000 0.000 5.954" Properties=species:S:1:pos:R:3 pbc="T T T"
Cd 0.000 1.287 0.000
Cd 0.000 4.553 2.977
As 2.055 2.334 4.602
As 2.055 3.506 1.625
Pd 2.055 1.118 2.427
Pd 2.055 4.723 5.404
O 0.000 0.834 2.189
O 0.000 5.007 5.166
```

Results
Mass density ... 7.20 g cm⁻³
Calculated total energy ... -4.13 eV per atom